Zn5Pt PBE-GGA relaxed; SG = Cmmm, No. 65; magnetization = 0.0 μB per cell; formation enthalpy at 0 K = -234.3 meV per atom
1.0
6.170 0.025 0.000
-4.918 3.727 0.000
0.000 0.000 3.780
Pt Zn
1 5
direct
0.972 0.028 0.000 Pt
0.803 0.197 0.500 Zn
0.637 0.363 0.000 Zn
0.472 0.528 0.500 Zn
0.307 0.693 0.000 Zn
0.142 0.858 0.500 Zn